An optimized crystal structure of ZnCuOs2, computed with PBE.

Cell and atoms, written as POSCAR:
```
ZnCuOs2
1.0
-0.104 -4.311 2.501
3.778 -3.152 -0.803
-1.303 4.547 1.577
Os Cu Zn
2 1 1
Cartesian
0.207 -1.733 2.460
0.011 -0.022 0.005
2.188 -1.234 0.826
1.801 -3.660 0.833
```

* magnetic moment: 0.000 μB per atom
* E_form: 0.3409 eV/atom
* crystal system: orthorhombic